{
  "formula": "ZnReRu2Au",
  "functional": "PBE-GGA",
  "state": "optimized geometry",
  "lattice_angstrom": [[-2.6432, -0.9495, -3.9929], [-1.4095, -4.2904, 1.9532], [-3.8587, 2.1931, 2.0329]],
  "species": ["Ru", "Ru", "Zn", "Re", "Au"],
  "fractional_positions": [[0.0000, 0.0000, 0.5000], [0.5000, 0.0000, 0.0000], [0.5000, 0.5000, 0.5000], [0.0000, 0.5000, 0.0000], [0.0000, 0.0000, 0.0000]],
  "sg": "P4/mmm",
  "formation_enthalpy_0k_ev_per_atom": 2.418,
  "dft_energy_ev_per_cell": -23.46
}